# YRu2Rh

A relaxed structure of YRu2Rh (PBE-GGA, Alexandria via LeMat-Bulk). Values from VASP.

The structure in Quantum ESPRESSO input format:
```
&SYSTEM
  ibrav = 0, nat = 4, ntyp = 3
/
ATOMIC_SPECIES
Y 88.91 Y.upf
Ru 101.07 Ru.upf
Rh 102.91 Rh.upf
CELL_PARAMETERS angstrom
2.928 0.000 0.000
0.000 3.778 0.000
0.000 0.000 6.155
ATOMIC_POSITIONS crystal
Y 0.000 0.000 0.000
Ru 0.000 0.000 0.510
Ru 0.500 0.500 0.689
Rh 0.500 0.500 0.264
```

Values from the calculation:
* E_form: -15 meV/atom
* distance to the lowest polymorph of the same formula: 4 kJ/mol of formula units
* total moment: 0.00 μB/cell


# YRu2Rh

A relaxed structure of YRu2Rh (PBE-GGA, Alexandria via LeMat-Bulk). Values from VASP.

The structure in Quantum ESPRESSO input format:
```
&SYSTEM
  ibrav = 0, nat = 12, ntyp = 3
/
ATOMIC_SPECIES
Y 88.91 Y.upf
Ru 101.07 Ru.upf
Rh 102.91 Rh.upf
CELL_PARAMETERS angstrom
2.858 0.000 0.000
-1.429 2.475 0.000
0.000 0.000 28.151
ATOMIC_POSITIONS crystal
Y 0.000 0.000 0.000
Y 0.333 0.667 0.667
Y 0.667 0.333 0.333
Ru 0.000 0.000 0.242
Ru 0.000 0.000 0.758
Ru 0.333 0.667 0.424
Ru 0.333 0.667 0.909
Ru 0.667 0.333 0.091
Ru 0.667 0.333 0.576
Rh 0.000 0.000 0.500
Rh 0.333 0.667 0.167
Rh 0.667 0.333 0.833
```

Values from the calculation:
* E_form: 465 meV/atom
* distance to the lowest polymorph of the same formula: 189 kJ/mol of formula units
* total moment: 0.00 μB/cell


# Y4RuRh

A relaxed structure of Y4RuRh (PBE-GGA, Alexandria via LeMat-Bulk). Values from VASP.

The structure in Quantum ESPRESSO input format:
```
&SYSTEM
  ibrav = 0, nat = 12, ntyp = 3
/
ATOMIC_SPECIES
Y 88.91 Y.upf
Ru 101.07 Ru.upf
Rh 102.91 Rh.upf
CELL_PARAMETERS angstrom
4.798 -4.824 0.000
4.798 4.824 0.000
-4.780 0.000 6.788
ATOMIC_POSITIONS crystal
Y 0.001 0.247 0.000
Y 0.247 0.001 0.500
Y 0.247 0.501 0.500
Y 0.499 0.753 0.000
Y 0.501 0.247 0.000
Y 0.753 0.499 0.500
Y 0.753 0.999 0.500
Y 0.999 0.753 0.000
Ru 0.125 0.875 0.750
Ru 0.875 0.125 0.250
Rh 0.375 0.625 0.250
Rh 0.625 0.375 0.750
```

Values from the calculation:
* E_form: -417 meV/atom
* distance to the lowest polymorph of the same formula: 42 kJ/mol of formula units
* total moment: 0.00 μB/cell


# YRu2Rh

A relaxed structure of YRu2Rh (PBE-GGA, Alexandria via LeMat-Bulk). Values from VASP.

The structure in Quantum ESPRESSO input format:
```
&SYSTEM
  ibrav = 0, nat = 8, ntyp = 3
/
ATOMIC_SPECIES
Y 88.91 Y.upf
Ru 101.07 Ru.upf
Rh 102.91 Rh.upf
CELL_PARAMETERS angstrom
9.402 0.000 0.000
0.000 2.968 0.000
-1.026 0.000 4.863
ATOMIC_POSITIONS crystal
Y 0.000 0.000 0.000
Y 0.500 0.500 0.000
Ru 0.236 0.000 0.706
Ru 0.264 0.500 0.294
Ru 0.736 0.500 0.706
Ru 0.764 0.000 0.294
Rh 0.000 0.500 0.500
Rh 0.500 0.000 0.500
```

Values from the calculation:
* E_form: 15 meV/atom
* distance to the lowest polymorph of the same formula: 15 kJ/mol of formula units
* total moment: 0.00 μB/cell


# YRuRh3

A relaxed structure of YRuRh3 (PBE-GGA, Alexandria via LeMat-Bulk). Values from VASP.

The structure in Quantum ESPRESSO input format:
```
&SYSTEM
  ibrav = 0, nat = 5, ntyp = 3
/
ATOMIC_SPECIES
Y 88.91 Y.upf
Ru 101.07 Ru.upf
Rh 102.91 Rh.upf
CELL_PARAMETERS angstrom
4.700 0.000 0.000
0.000 4.700 0.000
0.000 0.000 4.700
ATOMIC_POSITIONS crystal
Y 0.000 0.000 0.000
Ru 0.500 0.500 0.500
Rh 0.000 0.500 0.500
Rh 0.500 0.000 0.500
Rh 0.500 0.500 0.000
```

Values from the calculation:
* E_form: 500 meV/atom
* distance to the lowest polymorph of the same formula: 0 kJ/mol of formula units
* total moment: 0.00 μB/cell


# YRu2Rh

A relaxed structure of YRu2Rh (PBE-GGA, Alexandria via LeMat-Bulk). Values from VASP.

The structure in Quantum ESPRESSO input format:
```
&SYSTEM
  ibrav = 0, nat = 4, ntyp = 3
/
ATOMIC_SPECIES
Y 88.91 Y.upf
Ru 101.07 Ru.upf
Rh 102.91 Rh.upf
CELL_PARAMETERS angstrom
2.950 0.000 0.000
0.000 2.950 0.000
0.000 0.000 7.725
ATOMIC_POSITIONS crystal
Y 0.000 0.000 0.000
Ru 0.000 0.000 0.506
Ru 0.500 0.500 0.711
Rh 0.500 0.500 0.277
```

Values from the calculation:
* E_form: 20 meV/atom
* distance to the lowest polymorph of the same formula: 17 kJ/mol of formula units
* total moment: 0.00 μB/cell


# YRu2Rh

A relaxed structure of YRu2Rh (PBE-GGA, Alexandria via LeMat-Bulk). Values from VASP.

The structure in Quantum ESPRESSO input format:
```
&SYSTEM
  ibrav = 0, nat = 8, ntyp = 3
/
ATOMIC_SPECIES
Y 88.91 Y.upf
Ru 101.07 Ru.upf
Rh 102.91 Rh.upf
CELL_PARAMETERS angstrom
5.666 0.000 0.000
0.000 7.963 0.000
0.000 0.000 2.926
ATOMIC_POSITIONS crystal
Y 0.000 0.000 0.000
Y 0.500 0.500 0.000
Ru 0.250 0.250 0.500
Ru 0.250 0.750 0.500
Ru 0.750 0.250 0.500
Ru 0.750 0.750 0.500
Rh 0.000 0.500 0.000
Rh 0.500 0.000 0.000
```

Values from the calculation:
* E_form: 91 meV/atom
* distance to the lowest polymorph of the same formula: 44 kJ/mol of formula units
* total moment: 0.00 μB/cell


# YRuRh2

A relaxed structure of YRuRh2 (PBE-GGA, Alexandria via LeMat-Bulk). Values from VASP.

The structure in Quantum ESPRESSO input format:
```
&SYSTEM
  ibrav = 0, nat = 16, ntyp = 3
/
ATOMIC_SPECIES
Y 88.91 Y.upf
Ru 101.07 Ru.upf
Rh 102.91 Rh.upf
CELL_PARAMETERS angstrom
6.490 0.000 0.000
0.000 6.490 0.000
0.000 0.000 6.490
ATOMIC_POSITIONS crystal
Y 0.000 0.000 0.000
Y 0.000 0.500 0.500
Y 0.500 0.000 0.500
Y 0.500 0.500 0.000
Ru 0.250 0.250 0.250
Ru 0.250 0.750 0.750
Ru 0.750 0.250 0.750
Ru 0.750 0.750 0.250
Rh 0.000 0.000 0.500
Rh 0.000 0.500 0.000
Rh 0.250 0.250 0.750
Rh 0.250 0.750 0.250
Rh 0.500 0.000 0.000
Rh 0.500 0.500 0.500
Rh 0.750 0.250 0.250
Rh 0.750 0.750 0.750
```

Values from the calculation:
* E_form: -29 meV/atom
* distance to the lowest polymorph of the same formula: 82 kJ/mol of formula units
* total moment: 9.88 μB/cell


# YRuRh

A relaxed structure of YRuRh (PBE-GGA, Alexandria via LeMat-Bulk). Values from VASP.

The structure in Quantum ESPRESSO input format:
```
&SYSTEM
  ibrav = 0, nat = 12, ntyp = 3
/
ATOMIC_SPECIES
Y 88.91 Y.upf
Ru 101.07 Ru.upf
Rh 102.91 Rh.upf
CELL_PARAMETERS angstrom
6.306 0.000 0.000
0.000 6.306 0.000
0.000 0.000 6.306
ATOMIC_POSITIONS crystal
Y 0.000 0.000 0.000
Y 0.000 0.500 0.500
Y 0.500 0.000 0.500
Y 0.500 0.500 0.000
Ru 0.250 0.250 0.250
Ru 0.250 0.750 0.750
Ru 0.750 0.250 0.750
Ru 0.750 0.750 0.250
Rh 0.250 0.250 0.750
Rh 0.250 0.750 0.250
Rh 0.750 0.250 0.250
Rh 0.750 0.750 0.750
```

Values from the calculation:
* E_form: 605 meV/atom
* distance to the lowest polymorph of the same formula: 324 kJ/mol of formula units
* total moment: 0.01 μB/cell


# Y6Ru2Rh

A relaxed structure of Y6Ru2Rh (PBE-GGA, Alexandria via LeMat-Bulk). Values from VASP.

The structure in Quantum ESPRESSO input format:
```
&SYSTEM
  ibrav = 0, nat = 18, ntyp = 3
/
ATOMIC_SPECIES
Y 88.91 Y.upf
Ru 101.07 Ru.upf
Rh 102.91 Rh.upf
CELL_PARAMETERS angstrom
6.632 0.000 0.000
0.000 7.319 0.000
-6.257 0.000 9.549
ATOMIC_POSITIONS crystal
Y 0.075 0.040 0.240
Y 0.075 0.460 0.740
Y 0.224 0.670 0.073
Y 0.224 0.830 0.573
Y 0.396 0.170 0.073
Y 0.396 0.330 0.573
Y 0.604 0.670 0.427
Y 0.604 0.830 0.927
Y 0.776 0.170 0.427
Y 0.776 0.330 0.927
Y 0.925 0.540 0.260
Y 0.925 0.960 0.760
Ru 0.315 0.134 0.781
Ru 0.315 0.366 0.281
Ru 0.685 0.634 0.719
Ru 0.685 0.866 0.219
Rh 0.500 0.000 0.500
Rh 0.500 0.500 0.000
```

Values from the calculation:
* E_form: -371 meV/atom
* total moment: 0.00 μB/cell


# YRu2Rh

A relaxed structure of YRu2Rh (PBE-GGA, Alexandria via LeMat-Bulk). Values from VASP.

The structure in Quantum ESPRESSO input format:
```
&SYSTEM
  ibrav = 0, nat = 16, ntyp = 3
/
ATOMIC_SPECIES
Y 88.91 Y.upf
Ru 101.07 Ru.upf
Rh 102.91 Rh.upf
CELL_PARAMETERS angstrom
6.503 0.000 0.000
0.000 6.503 0.000
0.000 0.000 6.503
ATOMIC_POSITIONS crystal
Y 0.000 0.000 0.000
Y 0.000 0.500 0.500
Y 0.500 0.000 0.500
Y 0.500 0.500 0.000
Ru 0.000 0.000 0.500
Ru 0.000 0.500 0.000
Ru 0.250 0.250 0.250
Ru 0.250 0.750 0.750
Ru 0.500 0.000 0.000
Ru 0.500 0.500 0.500
Ru 0.750 0.250 0.750
Ru 0.750 0.750 0.250
Rh 0.250 0.250 0.750
Rh 0.250 0.750 0.250
Rh 0.750 0.250 0.250
Rh 0.750 0.750 0.750
```

Values from the calculation:
* E_form: 81 meV/atom
* distance to the lowest polymorph of the same formula: 41 kJ/mol of formula units
* total moment: 14.54 μB/cell


# YRu2Rh

A relaxed structure of YRu2Rh (PBE-GGA, Alexandria via LeMat-Bulk). Values from VASP.

The structure in Quantum ESPRESSO input format:
```
&SYSTEM
  ibrav = 0, nat = 4, ntyp = 3
/
ATOMIC_SPECIES
Y 88.91 Y.upf
Ru 101.07 Ru.upf
Rh 102.91 Rh.upf
CELL_PARAMETERS angstrom
2.965 0.000 0.000
0.000 2.965 0.000
0.000 0.000 7.713
ATOMIC_POSITIONS crystal
Y 0.000 0.000 0.000
Ru 0.500 0.500 0.287
Ru 0.500 0.500 0.713
Rh 0.000 0.000 0.500
```

Values from the calculation:
* E_form: 180 meV/atom
* distance to the lowest polymorph of the same formula: 79 kJ/mol of formula units
* total moment: 0.00 μB/cell


# YRuRh2

A relaxed structure of YRuRh2 (PBE-GGA, Alexandria via LeMat-Bulk). Values from VASP.

The structure in Quantum ESPRESSO input format:
```
&SYSTEM
  ibrav = 0, nat = 8, ntyp = 3
/
ATOMIC_SPECIES
Y 88.91 Y.upf
Ru 101.07 Ru.upf
Rh 102.91 Rh.upf
CELL_PARAMETERS angstrom
4.096 0.000 0.000
0.000 4.096 0.000
0.000 0.000 7.984
ATOMIC_POSITIONS crystal
Y 0.000 0.000 0.000
Y 0.500 0.500 0.500
Ru 0.000 0.000 0.500
Ru 0.500 0.500 0.000
Rh 0.000 0.500 0.250
Rh 0.000 0.500 0.750
Rh 0.500 0.000 0.250
Rh 0.500 0.000 0.750
```

Values from the calculation:
* E_form: -190 meV/atom
* distance to the lowest polymorph of the same formula: 20 kJ/mol of formula units
* total moment: 0.00 μB/cell


# Y2Zn5RuRh2

A relaxed structure of Y2Zn5RuRh2 (PBE-GGA, Alexandria via LeMat-Bulk). Values from VASP.

The structure in Quantum ESPRESSO input format:
```
&SYSTEM
  ibrav = 0, nat = 20, ntyp = 4
/
ATOMIC_SPECIES
Y 88.91 Y.upf
Zn 65.41 Zn.upf
Ru 101.07 Ru.upf
Rh 102.91 Rh.upf
CELL_PARAMETERS angstrom
9.472 0.000 0.000
0.000 9.472 0.000
0.000 0.000 3.852
ATOMIC_POSITIONS crystal
Y 0.177 0.323 0.000
Y 0.323 0.823 0.000
Y 0.677 0.177 0.000
Y 0.823 0.677 0.000
Zn 0.000 0.500 0.500
Zn 0.055 0.808 0.500
Zn 0.192 0.055 0.500
Zn 0.308 0.555 0.500
Zn 0.445 0.308 0.500
Zn 0.500 0.000 0.500
Zn 0.555 0.692 0.500
Zn 0.692 0.445 0.500
Zn 0.808 0.945 0.500
Zn 0.945 0.192 0.500
Ru 0.000 0.000 0.000
Ru 0.500 0.500 0.000
Rh 0.125 0.625 0.000
Rh 0.375 0.125 0.000
Rh 0.625 0.875 0.000
Rh 0.875 0.375 0.000
```

Values from the calculation:
* E_form: -385 meV/atom
* total moment: 0.01 μB/cell


# Y2Zn5Ru2Rh

A relaxed structure of Y2Zn5Ru2Rh (PBE-GGA, Alexandria via LeMat-Bulk). Values from VASP.

The structure in Quantum ESPRESSO input format:
```
&SYSTEM
  ibrav = 0, nat = 20, ntyp = 4
/
ATOMIC_SPECIES
Y 88.91 Y.upf
Zn 65.41 Zn.upf
Ru 101.07 Ru.upf
Rh 102.91 Rh.upf
CELL_PARAMETERS angstrom
9.861 0.000 0.000
0.000 9.861 0.000
0.000 0.000 3.563
ATOMIC_POSITIONS crystal
Y 0.175 0.325 0.000
Y 0.325 0.825 0.000
Y 0.675 0.175 0.000
Y 0.825 0.675 0.000
Zn 0.000 0.500 0.500
Zn 0.055 0.812 0.500
Zn 0.188 0.055 0.500
Zn 0.312 0.555 0.500
Zn 0.445 0.312 0.500
Zn 0.500 0.000 0.500
Zn 0.555 0.688 0.500
Zn 0.688 0.445 0.500
Zn 0.812 0.945 0.500
Zn 0.945 0.188 0.500
Ru 0.132 0.632 0.000
Ru 0.368 0.132 0.000
Ru 0.632 0.868 0.000
Ru 0.868 0.368 0.000
Rh 0.000 0.000 0.000
Rh 0.500 0.500 0.000
```

Values from the calculation:
* E_form: -256 meV/atom
* total moment: 0.00 μB/cell


# Y2ZnRuRh

A relaxed structure of Y2ZnRuRh (PBE-GGA, Alexandria via LeMat-Bulk). Values from VASP.

The structure in Quantum ESPRESSO input format:
```
&SYSTEM
  ibrav = 0, nat = 5, ntyp = 4
/
ATOMIC_SPECIES
Y 88.91 Y.upf
Zn 65.41 Zn.upf
Ru 101.07 Ru.upf
Rh 102.91 Rh.upf
CELL_PARAMETERS angstrom
5.220 0.000 0.000
0.000 5.220 0.000
0.000 0.000 4.406
ATOMIC_POSITIONS crystal
Y 0.000 0.500 0.000
Y 0.500 0.000 0.000
Zn 0.000 0.000 0.000
Ru 0.000 0.000 0.500
Rh 0.500 0.500 0.500
```

Values from the calculation:
* E_form: 529 meV/atom
* total moment: 0.00 μB/cell


# ZnRuRh4

A relaxed structure of ZnRuRh4 (PBE-GGA, Alexandria via LeMat-Bulk). Values from VASP.

The structure in Quantum ESPRESSO input format:
```
&SYSTEM
  ibrav = 0, nat = 6, ntyp = 3
/
ATOMIC_SPECIES
Zn 65.41 Zn.upf
Ru 101.07 Ru.upf
Rh 102.91 Rh.upf
CELL_PARAMETERS angstrom
0.000 3.591 3.591
3.591 0.000 3.591
3.591 3.591 0.000
ATOMIC_POSITIONS crystal
Zn 0.000 0.000 0.000
Ru 0.250 0.250 0.250
Rh 0.125 0.625 0.625
Rh 0.625 0.125 0.625
Rh 0.625 0.625 0.125
Rh 0.625 0.625 0.625
```

Values from the calculation:
* E_form: 376 meV/atom
* distance to the lowest polymorph of the same formula: 246 kJ/mol of formula units
* total moment: 3.13 μB/cell


# ZnRuRh2

A relaxed structure of ZnRuRh2 (PBE-GGA, Alexandria via LeMat-Bulk). Values from VASP.

The structure in Quantum ESPRESSO input format:
```
&SYSTEM
  ibrav = 0, nat = 4, ntyp = 3
/
ATOMIC_SPECIES
Zn 65.41 Zn.upf
Ru 101.07 Ru.upf
Rh 102.91 Rh.upf
CELL_PARAMETERS angstrom
2.753 0.000 0.000
0.000 3.756 0.000
0.000 0.000 5.425
ATOMIC_POSITIONS crystal
Zn 0.000 0.000 0.000
Ru 0.000 0.000 0.500
Rh 0.500 0.500 0.251
Rh 0.500 0.500 0.749
```

Values from the calculation:
* E_form: -89 meV/atom
* total moment: 0.00 μB/cell


# ZnRuRh2

A relaxed structure of ZnRuRh2 (PBE-GGA, Alexandria via LeMat-Bulk). Values from VASP.

The structure in Quantum ESPRESSO input format:
```
&SYSTEM
  ibrav = 0, nat = 8, ntyp = 3
/
ATOMIC_SPECIES
Zn 65.41 Zn.upf
Ru 101.07 Ru.upf
Rh 102.91 Rh.upf
CELL_PARAMETERS angstrom
2.857 0.000 0.000
0.000 4.465 0.000
0.000 0.000 8.859
ATOMIC_POSITIONS crystal
Zn 0.000 0.000 0.000
Zn 0.500 0.500 0.500
Ru 0.000 0.500 0.259
Ru 0.500 0.000 0.759
Rh 0.000 0.000 0.504
Rh 0.000 0.500 0.737
Rh 0.500 0.000 0.237
Rh 0.500 0.500 0.004
```

Values from the calculation:
* E_form: 56 meV/atom
* total moment: 1.53 μB/cell


# ZnRuRh2

A relaxed structure of ZnRuRh2 (PBE-GGA, Alexandria via LeMat-Bulk). Values from VASP.

The structure in Quantum ESPRESSO input format:
```
&SYSTEM
  ibrav = 0, nat = 8, ntyp = 3
/
ATOMIC_SPECIES
Zn 65.41 Zn.upf
Ru 101.07 Ru.upf
Rh 102.91 Rh.upf
CELL_PARAMETERS angstrom
8.956 0.000 0.000
0.000 2.741 0.000
-0.822 0.000 4.582
ATOMIC_POSITIONS crystal
Zn 0.000 0.000 0.000
Zn 0.500 0.500 0.000
Ru 0.245 0.000 0.717
Ru 0.745 0.500 0.717
Rh 0.001 0.500 0.506
Rh 0.252 0.500 0.218
Rh 0.501 0.000 0.506
Rh 0.752 0.000 0.218
```

Values from the calculation:
* E_form: -74 meV/atom
* total moment: 0.00 μB/cell